An optimized crystal structure of Ac2TbNd3, computed with GGA-PBE.

Electronic total energy = -53.882 eV per cell
Theoretical density = 7.67 g cm⁻³
Formation enthalpy at 0 K = 0.035 eV/atom

a = 5.3442 Å, b = 8.4126 Å, c = 11.2749 Å
α = 72.41°, β = 76.29°, γ = 71.57°
Last column: nearest neighbours and their distance in Å.
Atoms (fractional coordinates):
Ac (0.0360, 0.2963, 0.1317)  4 Nd 3.71-3.80, 4 Tb 3.72-3.86, 4 Ac 3.78-3.88
Ac (0.2912, 0.0486, 0.8686)  4 Nd 3.71-3.83, 3 Tb 3.75-3.88, 5 Ac 3.83-3.88
Ac (0.7088, 0.9514, 0.1314)  4 Nd 3.71-3.83, 3 Tb 3.75-3.88, 5 Ac 3.83-3.88
Ac (0.9640, 0.7037, 0.8683)  4 Nd 3.71-3.80, 4 Tb 3.72-3.86, 4 Ac 3.78-3.88
Tb (0.3737, 0.6218, 0.1306)  7 Ac 3.72-3.88, 4 Nd 3.74-3.76, 1 Tb 3.84
Tb (0.6263, 0.3782, 0.8694)  7 Ac 3.72-3.88, 4 Nd 3.74-3.76, 1 Tb 3.84
Nd (0.1245, 0.8704, 0.3805)  8 Nd 3.66-3.81, 1 Tb 3.76, 3 Ac 3.76-3.80
Nd (0.2096, 0.4602, 0.6206)  8 Nd 3.65-3.76, 2 Ac 3.71, 2 Tb 3.76
Nd (0.4535, 0.2100, 0.3829)  8 Nd 3.65-3.81, 1 Tb 3.74, 3 Ac 3.77-3.83
Nd (0.5465, 0.7900, 0.6171)  8 Nd 3.65-3.81, 1 Tb 3.74, 3 Ac 3.77-3.83
Nd (0.7904, 0.5398, 0.3794)  8 Nd 3.65-3.76, 2 Ac 3.71, 2 Tb 3.76
Nd (0.8755, 0.1296, 0.6195)  8 Nd 3.66-3.81, 1 Tb 3.76, 3 Ac 3.76-3.80